La2NiTe PBE-GGA optimized geometry; density = 6.684 Mg/m³; raw total energy = -44.44 eV per cell; formation energy (no corrections) = -0.8604 eV/atom; volume = 28.83 Å³/atom
1.0
-3.212 3.295 0.953
-2.946 -2.996 0.431
3.974 0.665 11.099
Te La Ni
2 4 2
Direct
0.750 0.808 0.616 Te
0.250 0.192 0.384 Te
0.250 0.053 0.106 La
0.750 0.947 0.894 La
0.750 0.665 0.329 La
0.250 0.335 0.671 La
0.250 0.467 0.935 Ni
0.750 0.533 0.065 Ni